<1>
The following is a DFT calculation (PBE-GGA) of a relaxed structure of ZrPaRh.

Values from the calculation:
Calculated volume (Å³ per cell): 127.1
Total magnetic moment (μB/cell): 0.00
Mass density (Mg/m³): 11.11
N(E_F) (states/eV/f.u.): 3.92

abc: 5.5613 5.5353 5.5374
angles: 75.68 59.73 59.72
With the nearest neighbours (Å) after each atom.
Sites, in units of the cell vectors:
Rh1 0.0062 0.9658 0.5818  2 Rh 2.78, 4 Pa 2.80-2.91, 4 Zr 2.92-2.97
Zr1 0.8963 0.4727 0.7946  4 Rh 2.92-2.97, 2 Pa 3.05-3.27
Pa1 0.5751 0.4768 0.4333  4 Rh 2.80-2.91, 1 Zr 3.05
Rh2 0.5062 0.9655 0.5821  2 Rh 2.78, 4 Pa 2.80-2.91, 4 Zr 2.92-2.97
Pa2 0.0751 0.8169 0.0930  4 Rh 2.80-2.91, 1 Zr 3.05
Zr2 0.3964 0.1782 0.0890  4 Rh 2.92-2.97, 2 Pa 3.05-3.27



<2>
The following is a DFT calculation (PBE-GGA) of a relaxed structure of ZrPaRh.

Values from the calculation:
Calculated volume (Å³ per cell): 129.0
Total magnetic moment (μB/cell): 0.00
Mass density (Mg/m³): 10.95
N(E_F) (states/eV/f.u.): 1.29

abc: 4.4625 4.4625 7.9113
angles: 73.62 73.62 60.00
With the nearest neighbours (Å) after each atom.
Sites, in units of the cell vectors:
Pa1 0.7998 0.7998 0.6004  3 Pa 2.98, 4 Rh 2.99-3.01
Zr1 0.3652 0.3652 0.9044  3 Rh 2.69, 3 Zr 2.95
Rh1 0.0659 0.0659 0.8024  3 Zr 2.69, 1 Rh 2.96, 3 Pa 2.99
Pa2 0.2002 0.2002 0.3996  3 Pa 2.98, 4 Rh 2.99-3.01
Zr2 0.6348 0.6348 0.0956  3 Rh 2.69, 3 Zr 2.95
Rh2 0.9341 0.9341 0.1976  3 Zr 2.69, 1 Rh 2.96, 3 Pa 2.99



Relative to the most stable structure, the computed energies are <1> 0; <2> 143, all in meV per atom.



<1>
The following is a DFT calculation (PBE-GGA) of a relaxed structure of ZrPaRh.

Values from the calculation:
Calculated volume (Å³ per cell): 60.5
Total magnetic moment (μB/cell): 0.00
Mass density (Mg/m³): 11.66
N(E_F) (states/eV/f.u.): 3.46

abc: 3.1631 4.7010 4.7010
angles: 120.00 90.00 90.00
With the nearest neighbours (Å) after each atom.
Sites, in units of the cell vectors:
Zr1 0.9798 0.0000 0.0000  3 Pa 2.93, 3 Rh 3.01, 2 Zr 3.16
Rh1 0.3881 0.6667 0.3333  3 Pa 2.82, 3 Zr 3.01
Pa1 0.6321 0.3333 0.6667  3 Rh 2.82, 3 Zr 2.93



<2>
The following is a DFT calculation (PBE-GGA) of a relaxed structure of ZrPaRh.

Values from the calculation:
Calculated volume (Å³ per cell): 63.7
Total magnetic moment (μB/cell): 0.00
Mass density (Mg/m³): 11.08
N(E_F) (states/eV/f.u.): 3.11

abc: 3.5479 3.5479 5.6504
angles: 108.30 108.30 90.00
With the nearest neighbours (Å) after each atom.
Sites, in units of the cell vectors:
Pa1 0.0254 0.0254 0.0507  4 Rh 2.79, 1 Zr 3.07
Zr1 0.3282 0.3282 0.6563  5 Pa 3.07-3.21, 5 Rh 3.11-3.22
Rh1 0.6465 0.6465 0.2929  4 Pa 2.79, 4 Zr 3.11



Relative to the most stable structure, the computed energies are <1> 168; <2> 0, all in meV per atom.



<1>
The following is a DFT calculation (PBE-GGA) of a relaxed structure of ZrPaRh4.

Values from the calculation:
Calculated volume (Å³ per cell): 104.1
Total magnetic moment (μB/cell): 0.00
Mass density (Mg/m³): 11.71
N(E_F) (states/eV/f.u.): 8.16

abc: 5.2796 5.2796 5.2796
angles: 60.00 60.00 60.00
With the nearest neighbours (Å) after each atom.
Sites, in units of the cell vectors:
Rh1 0.6253 0.6253 0.6253  6 Rh 2.63-2.65
Rh2 0.6253 0.1242 0.6253  6 Rh 2.63-2.65
Rh3 0.1242 0.6253 0.6253  6 Rh 2.63-2.65
Rh4 0.6253 0.6253 0.1242  6 Rh 2.63-2.65
Pa1 0.2500 0.2500 0.2500  12 Rh 3.10, 4 Zr 3.23
Zr1 0.0000 0.0000 0.0000  12 Rh 3.09, 4 Pa 3.23



<2>
The following is a DFT calculation (PBE-GGA) of a relaxed structure of ZrPaRh4.

Values from the calculation:
Calculated volume (Å³ per cell): 225.3
Total magnetic moment (μB/cell): 0.00
Mass density (Mg/m³): 10.82
N(E_F) (states/eV/f.u.): 4.92

abc: 4.0701 3.9403 14.1941
angles: 90.00 98.24 90.00
With the nearest neighbours (Å) after each atom.
Sites, in units of the cell vectors:
Rh1 0.8681 0.0000 0.7362  2 Pa 2.70, 2 Zr 2.79, 4 Rh 2.83
Rh2 0.5000 0.5000 0.0000  4 Zr 2.66, 4 Rh 2.83
Pa1 0.8023 0.5000 0.6045  8 Rh 2.70-2.86
Rh3 0.0000 0.0000 0.0000  4 Zr 2.71, 4 Rh 2.83
Rh4 0.7122 0.0000 0.4245  4 Pa 2.86, 6 Rh 2.94-3.04
Rh5 0.2878 0.0000 0.5755  4 Pa 2.86, 6 Rh 2.94-3.04
Rh6 0.6341 0.5000 0.2683  2 Pa 2.71, 2 Zr 2.79, 6 Rh 2.83-2.95
Zr1 0.4362 0.0000 0.8723  8 Rh 2.66-2.79
Rh7 0.3659 0.5000 0.7317  2 Pa 2.71, 2 Zr 2.79, 6 Rh 2.83-2.95
Rh8 0.1319 0.0000 0.2638  2 Pa 2.70, 2 Zr 2.79, 4 Rh 2.83
Pa2 0.1977 0.5000 0.3955  8 Rh 2.70-2.86
Zr2 0.5638 0.0000 0.1277  8 Rh 2.66-2.79



Relative to the most stable structure, the computed energies are <1> 0; <2> 68, all in meV per atom.



<1>
The following is a DFT calculation (PBE-GGA) of a relaxed structure of Zr2PaRh.

Values from the calculation:
Calculated volume (Å³ per cell): 84.8
Total magnetic moment (μB/cell): 0.00
Mass density (Mg/m³): 10.11
N(E_F) (states/eV/f.u.): 4.63

abc: 3.3287 3.3287 7.6532
angles: 90.00 90.00 90.00
With the nearest neighbours (Å) after each atom.
Sites, in units of the cell vectors:
Pa1 0.5000 0.5000 0.5000  8 Zr 3.21, 4 Pa 3.33
Rh1 0.5000 0.5000 0.0000  8 Zr 2.87
Zr1 0.0000 0.0000 0.2149  4 Rh 2.87, 4 Pa 3.21
Zr2 0.0000 0.0000 0.7851  4 Rh 2.87, 4 Pa 3.21



<2>
The following is a DFT calculation (PBE-GGA) of a relaxed structure of Zr2PaRh.

Values from the calculation:
Calculated volume (Å³ per cell): 82.8
Total magnetic moment (μB/cell): 0.00
Mass density (Mg/m³): 10.36
N(E_F) (states/eV/f.u.): 5.90

abc: 4.8934 4.8934 4.8893
angles: 59.97 59.97 60.00
With the nearest neighbours (Å) after each atom.
Sites, in units of the cell vectors:
Pa1 0.5000 0.5000 0.5001  4 Zr 2.99-3.00, 4 Rh 2.99-3.00
Zr1 0.0000 0.0000 0.0001  4 Rh 2.99-3.00, 4 Zr 3.00
Rh1 0.7499 0.7499 0.7502  4 Pa 2.99-3.00, 4 Zr 2.99-3.00
Zr2 0.2501 0.2501 0.2496  4 Pa 2.99-3.00, 4 Zr 3.00



Relative to the most stable structure, the computed energies are <1> 0; <2> 96, all in meV per atom.



<1>
The following is a DFT calculation (PBE-GGA) of a relaxed structure of Sc2PaRu.

Values from the calculation:
Calculated volume (Å³ per cell): 83.1
Total magnetic moment (μB/cell): 0.39
Mass density (Mg/m³): 8.43
N(E_F) (states/eV/f.u.): 5.25

abc: 3.1974 3.1974 8.1268
angles: 90.00 90.00 90.00
With the nearest neighbours (Å) after each atom.
Sites, in units of the cell vectors:
Ru1 0.5000 0.5000 0.0000  8 Sc 2.74
Sc1 0.0000 0.0000 0.1912  4 Ru 2.74
Pa1 0.5000 0.5000 0.5000  4 Pa 3.20, 8 Sc 3.38
Sc2 0.0000 0.0000 0.8088  4 Ru 2.74



<2>
The following is a DFT calculation (PBE-GGA) of a relaxed structure of Sc2PaRu.

Values from the calculation:
Calculated volume (Å³ per cell): 178.9
Total magnetic moment (μB/cell): 0.00
Mass density (Mg/m³): 7.83
N(E_F) (states/eV/f.u.): 7.00

abc: 3.5722 5.8256 9.0333
angles: 90.00 90.00 107.86
With the nearest neighbours (Å) after each atom.
Sites, in units of the cell vectors:
Sc1 0.8621 0.7243 0.5642  3 Ru 2.80-3.05
Pa1 0.5733 0.1469 0.7500  2 Ru 2.56
Pa2 0.4267 0.8531 0.2500  2 Ru 2.56
Ru1 0.2392 0.4786 0.7500  2 Pa 2.56, 4 Sc 2.80
Sc2 0.1379 0.2757 0.4358  3 Ru 2.80-3.05
Ru2 0.7608 0.5214 0.2500  2 Pa 2.56, 4 Sc 2.80
Sc3 0.8621 0.7243 0.9358  3 Ru 2.80-3.05
Sc4 0.1379 0.2757 0.0642  3 Ru 2.80-3.05



Relative to the most stable structure, the computed energies are <1> 52; <2> 0, all in meV per atom.



<1>
The following is a DFT calculation (PBE-GGA) of a relaxed structure of Pa2RuSe.

Values from the calculation:
Calculated volume (Å³ per cell): 89.8
Total magnetic moment (μB/cell): 0.00
Mass density (Mg/m³): 11.88
N(E_F) (states/eV/f.u.): 4.68

abc: 3.3217 3.3217 9.5899
angles: 80.03 80.03 60.00
With the nearest neighbours (Å) after each atom.
Sites, in units of the cell vectors:
Ru1 0.0000 0.0000 0.0000  2 Pa 2.48
Se1 0.5000 0.5000 0.5000  6 Pa 2.93
Pa1 0.0879 0.0879 0.7364  1 Ru 2.48
Pa2 0.9121 0.9121 0.2636  1 Ru 2.48



<2>
The following is a DFT calculation (PBE-GGA) of a relaxed structure of Pa2RuSe.

Values from the calculation:
Calculated volume (Å³ per cell): 95.1
Total magnetic moment (μB/cell): 0.00
Mass density (Mg/m³): 11.21
N(E_F) (states/eV/f.u.): 5.46

abc: 3.8632 3.8632 7.6915
angles: 75.46 75.46 60.00
With the nearest neighbours (Å) after each atom.
Sites, in units of the cell vectors:
Ru1 0.6690 0.6690 0.9930  6 Pa 2.72-2.79
Pa1 0.0726 0.0726 0.7822  3 Ru 2.72, 3 Se 3.03
Pa2 0.2595 0.2595 0.2216  3 Ru 2.79, 3 Se 3.04
Se1 0.4989 0.4989 0.5032  6 Pa 3.03-3.04



<3>
The following is a DFT calculation (PBE-GGA) of a relaxed structure of Pa2RuSe.

Values from the calculation:
Calculated volume (Å³ per cell): 84.2
Total magnetic moment (μB/cell): 1.81
Mass density (Mg/m³): 12.67
N(E_F) (states/eV/f.u.): 8.05

abc: 3.4705 4.9247 4.9247
angles: 90.00 90.00 90.00
With the nearest neighbours (Å) after each atom.
Sites, in units of the cell vectors:
Se1 0.5000 0.0000 0.0000  8 Pa 3.01
Pa1 0.0000 0.5000 0.0000  4 Ru 3.01, 4 Se 3.01
Pa2 0.0000 0.0000 0.5000  4 Se 3.01, 4 Ru 3.01
Ru1 0.5000 0.5000 0.5000  8 Pa 3.01



Relative to the most stable structure, the computed energies are <1> 531; <2> 0; <3> 281, all in meV per atom.